(1)
An optimized crystal structure of CeHo2Lu. Source: the Alexandria database, functional PBE.

Structure (CIF):
```
data_CeHo2Lu
_cell_length_a 4.9417
_cell_length_b 4.9417
_cell_length_c 4.9628
_cell_angle_alpha 90.00
_cell_angle_beta 90.00
_cell_angle_gamma 90.00
_symmetry_space_group_name_H-M 'P 4/m m m'
_symmetry_Int_Tables_number 123
_symmetry_space_group_name_Hall '-P 4 2'
loop_
_atom_site_label
_atom_site_type_symbol
_atom_site_fract_x
_atom_site_fract_y
_atom_site_fract_z
Ce1 Ce 0.0000 0.0000 0.0000
Ho1 Ho 0.0000 0.5000 0.5000
Lu1 Lu 0.5000 0.5000 0.0000
```

Summary:
energy relative to the lowest polymorph listed for this composition	0.0	meV/atom
M_tot	0.5	μB/f.u.
E	-4.84	eV/atom
formation energy from the elements	0.066	eV/atom



(2)
An optimized crystal structure of K2RbTlSe. Source: the Alexandria database, functional PBE.

Structure (CIF):
```
data_K2RbTlSe
_cell_length_a 6.2984
_cell_length_b 6.2984
_cell_length_c 6.6520
_cell_angle_alpha 90.00
_cell_angle_beta 90.00
_cell_angle_gamma 90.00
_symmetry_space_group_name_H-M 'P 4/m m m'
_symmetry_Int_Tables_number 123
_symmetry_space_group_name_Hall '-P 4 2'
loop_
_atom_site_label
_atom_site_type_symbol
_atom_site_fract_x
_atom_site_fract_y
_atom_site_fract_z
K1 K 0.0000 0.5000 0.0000
Rb1 Rb 0.0000 0.0000 0.5000
Tl1 Tl 0.5000 0.5000 0.5000
Se1 Se 0.0000 0.0000 0.0000
```

Summary:
M_tot	1.5	μB/f.u.
E	-2.24	eV/atom
uncorrected formation energy	-433.9	meV per atom



(3)
An optimized crystal structure of CsNa2SiPd. Source: the Alexandria database, functional PBE.

Structure (CIF):
```
data_CsNa2SiPd
_cell_length_a 5.7197
_cell_length_b 5.7197
_cell_length_c 4.6716
_cell_angle_alpha 90.00
_cell_angle_beta 90.00
_cell_angle_gamma 90.00
_symmetry_space_group_name_H-M 'P 4/m m m'
_symmetry_Int_Tables_number 123
_symmetry_space_group_name_Hall '-P 4 2'
loop_
_atom_site_label
_atom_site_type_symbol
_atom_site_fract_x
_atom_site_fract_y
_atom_site_fract_z
Cs1 Cs 0.0000 0.0000 0.0000
Na1 Na 0.0000 0.5000 0.5000
Si1 Si 0.5000 0.5000 0.0000
Pd1 Pd 0.5000 0.5000 0.5000
```

Summary:
M_tot	0.0	μB/f.u.
E	-2.91	eV/atom
uncorrected formation energy	-83.5	meV per atom



(4)
An optimized crystal structure of NbAg2Ir. Source: the Alexandria database, functional PBE.

Structure (CIF):
```
data_NbAg2Ir
_cell_length_a 7.5667
_cell_length_b 7.5667
_cell_length_c 5.2071
_cell_angle_alpha 90.00
_cell_angle_beta 90.00
_cell_angle_gamma 90.00
_symmetry_space_group_name_H-M 'I -4 2 d'
_symmetry_Int_Tables_number 122
_symmetry_space_group_name_Hall 'I -4 2bw'
loop_
_atom_site_label
_atom_site_type_symbol
_atom_site_fract_x
_atom_site_fract_y
_atom_site_fract_z
Nb1 Nb 0.0000 0.0000 0.0000
Ag1 Ag 0.2381 0.2500 0.6250
Ir1 Ir 0.0000 0.0000 0.5000
```

Summary:
energy relative to the lowest polymorph listed for this composition	308.8	meV/atom
M_tot	0.0	μB/f.u.
E	-5.38	eV/atom
formation energy from the elements	0.781	eV/atom



Look up the E of the first one.
-4.84 eV/atom



Among the records above, which one has the highest E?
K2RbTlSe